UAlRe2 | GGA-PBE | optimized geometry

- E_form (meV per atom) = 221.9
- magnetization (μB per cell) = 0.28
- distance to the lowest polymorph of the same formula (eV/atom) = 0.329

Unit cell a=9.9351 b=9.9351 c=9.9351 alpha=16.17 beta=16.17 gamma=16.17
Closest atoms and distances in Å follow each position.
Element x y z (fractional)
U (0.0000, 0.0000, 0.0000)  6 U 2.79
Al (0.5000, 0.5000, 0.5000)  6 Re 2.72, 6 Al 2.79
Re (0.2413, 0.2413, 0.2413)  3 Al 2.72, 6 Re 2.79
Re (0.7587, 0.7587, 0.7587)  3 Al 2.72, 6 Re 2.79


Li2Pm3Ag5 | GGA-PBE | optimized geometry

- E_form (meV per atom) = -215.8
- magnetization (μB per cell) = 0.00

Unit cell a=10.5175 b=10.5175 c=3.9532 alpha=90.00 beta=90.00 gamma=90.00
Closest atoms and distances in Å follow each position.
Element x y z (fractional)
Li (0.1146, 0.3854, 0.0000)  6 Ag 2.61-2.69
Li (0.3854, 0.8854, 0.0000)  6 Ag 2.61-2.69
Li (0.6146, 0.1146, 0.0000)  6 Ag 2.61-2.69
Li (0.8854, 0.6146, 0.0000)  6 Ag 2.61-2.69
Pm (0.0000, 0.0000, 0.0000)  8 Ag 3.11
Pm (0.1809, 0.6809, 0.0000)  3 Li 3.04-3.19, 10 Ag 3.34-3.39
Pm (0.3191, 0.1809, 0.0000)  3 Li 3.04-3.19, 10 Ag 3.34-3.39
Pm (0.5000, 0.5000, 0.0000)  8 Ag 3.11
Pm (0.6809, 0.8191, 0.0000)  3 Li 3.04-3.19, 10 Ag 3.34-3.39
Pm (0.8191, 0.3191, 0.0000)  3 Li 3.04-3.19, 10 Ag 3.34-3.39
Ag (0.0000, 0.5000, 0.5000)  4 Li 2.61
Ag (0.0603, 0.2207, 0.5000)  2 Li 2.69, 1 Ag 3.01
Ag (0.2207, 0.9397, 0.5000)  2 Li 2.69, 1 Ag 3.01
Ag (0.2793, 0.4397, 0.5000)  2 Li 2.69, 1 Ag 3.01
Ag (0.4397, 0.7207, 0.5000)  2 Li 2.69, 1 Ag 3.01
Ag (0.5000, 0.0000, 0.5000)  4 Li 2.61
Ag (0.5603, 0.2793, 0.5000)  2 Li 2.69, 1 Ag 3.01
Ag (0.7207, 0.5603, 0.5000)  2 Li 2.69, 1 Ag 3.01
Ag (0.7793, 0.0603, 0.5000)  2 Li 2.69, 1 Ag 3.01
Ag (0.9397, 0.7793, 0.5000)  2 Li 2.69, 1 Ag 3.01


Bi4Ru | GGA-PBE | optimized geometry

- E_form (meV per atom) = 397.7
- magnetization (μB per cell) = 0.00
- distance to the lowest polymorph of the same formula (eV/atom) = 0.199

Unit cell a=5.3257 b=5.3257 c=5.3257 alpha=90.00 beta=90.00 gamma=90.00
Closest atoms and distances in Å follow each position.
Element x y z (fractional)
Bi (0.0000, 0.0000, 0.0000)  12 Bi 3.77
Bi (0.0000, 0.5000, 0.5000)  2 Ru 2.66
Bi (0.5000, 0.0000, 0.5000)  2 Ru 2.66
Bi (0.5000, 0.5000, 0.0000)  2 Ru 2.66
Ru (0.5000, 0.5000, 0.5000)  6 Bi 2.66


NbAg | GGA-PBE | optimized geometry

- E_form (meV per atom) = 606.6
- magnetization (μB per cell) = 0.00

Unit cell a=7.7697 b=7.7697 c=4.5606 alpha=90.00 beta=90.00 gamma=120.00
Closest atoms and distances in Å follow each position.
Element x y z (fractional)
Nb (0.1202, 0.6260, 0.2500)  2 Nb 2.64, 2 Ag 2.86
Nb (0.3740, 0.4942, 0.2500)  2 Nb 2.64, 2 Ag 2.86
Nb (0.4942, 0.1202, 0.7500)  2 Nb 2.64, 2 Ag 2.86
Nb (0.5058, 0.8798, 0.2500)  2 Nb 2.64, 2 Ag 2.86
Nb (0.6260, 0.5058, 0.7500)  2 Nb 2.64, 2 Ag 2.86
Nb (0.8798, 0.3740, 0.7500)  2 Nb 2.64, 2 Ag 2.86
Ag (0.0638, 0.8153, 0.7500)  5 Nb 2.86-3.03, 6 Ag 2.87-3.01
Ag (0.1847, 0.2486, 0.7500)  5 Nb 2.86-3.03, 6 Ag 2.87-3.01
Ag (0.2486, 0.0638, 0.2500)  5 Nb 2.86-3.03, 6 Ag 2.87-3.01
Ag (0.7514, 0.9362, 0.7500)  5 Nb 2.86-3.03, 6 Ag 2.87-3.01
Ag (0.8153, 0.7514, 0.2500)  5 Nb 2.86-3.03, 6 Ag 2.87-3.01
Ag (0.9362, 0.1847, 0.2500)  5 Nb 2.86-3.03, 6 Ag 2.87-3.01


E for the records above, in order: -9.760; -3.449; -4.562; -5.854 eV/atom